No. 1
Here is a geometry-optimized AcY2ZrN4 structure from Alexandria. Energies are from PBE.

Output
**Raw total energy**: -8.679 eV per atom
**Formation energy from raw total energies**: -1318 meV per atom
**Total magnetization**: 0.000 μB per atom

Structure (CIF):
```
data_AcY2ZrN4
_symmetry_space_group_name_H-M 'P 1'
_symmetry_Int_Tables_number 1
_cell_length_a 3.540
_cell_length_b 6.419
_cell_length_c 12.339
_cell_angle_alpha 90.00
_cell_angle_beta 90.00
_cell_angle_gamma 106.01
loop_
_symmetry_equiv_pos_as_xyz
'x,y,z'
loop_
_atom_site_label
_atom_site_type_symbol
_atom_site_fract_x
_atom_site_fract_y
_atom_site_fract_z
_atom_site_occupancy
N1 N 0.443 0.887 0.750 1
N2 N 0.257 0.515 0.117 1
N3 N 0.557 0.113 0.250 1
N4 N 0.257 0.515 0.383 1
N5 N 0.743 0.485 0.883 1
N6 N 0.743 0.485 0.617 1
N7 N 0.000 0.000 0.500 1
N8 N 0.000 0.000 0.000 1
Y1 Y 0.629 0.259 0.468 1
Y2 Y 0.371 0.741 0.968 1
Y3 Y 0.629 0.259 0.032 1
Y4 Y 0.371 0.741 0.532 1
Ac1 Ac 0.106 0.212 0.750 1
Ac2 Ac 0.894 0.788 0.250 1
Zr1 Zr 0.843 0.687 0.750 1
Zr2 Zr 0.157 0.313 0.250 1
```

No. 2
Here is a geometry-optimized Ac2ZnN structure from Alexandria. Energies are from PBE.

Output
**Energy above the most stable polymorph in this dataset**: 108 meV per atom
**Raw total energy**: -4.960 eV per atom
**Formation energy from raw total energies**: -506 meV per atom
**Total magnetization**: 0.000 μB per atom

Structure (CIF):
```
data_Ac2ZnN
_symmetry_space_group_name_H-M 'P 1'
_symmetry_Int_Tables_number 1
_cell_length_a 3.949
_cell_length_b 3.949
_cell_length_c 8.230
_cell_angle_alpha 76.12
_cell_angle_beta 76.12
_cell_angle_gamma 60.00
loop_
_symmetry_equiv_pos_as_xyz
'x,y,z'
loop_
_atom_site_label
_atom_site_type_symbol
_atom_site_fract_x
_atom_site_fract_y
_atom_site_fract_z
_atom_site_occupancy
N1 N 0.500 0.500 0.500 1
Zn1 Zn 0.000 0.000 0.000 1
Ac1 Ac 0.769 0.769 0.692 1
Ac2 Ac 0.231 0.231 0.308 1
```